1.
Density functional theory data (PBE) for an optimized crystal structure of Pm2Cd6Ag3.

Cell and atoms, written as POSCAR:
```
Pm2Cd6Ag3
1.0
8.103 0.000 0.000
-4.052 7.018 0.000
0.000 0.000 4.665
Pm Cd Ag
2 6 3
direct
0.333 0.667 0.000
0.667 0.333 0.000
0.000 0.210 0.000
0.000 0.740 0.500
0.210 0.000 0.000
0.260 0.260 0.500
0.740 0.000 0.500
0.790 0.790 0.000
0.000 0.407 0.500
0.407 0.000 0.500
0.593 0.593 0.500
```

Results
SG: P-62m, No. 189
Formation enthalpy at 0 K in eV/atom: -0.140
Energy in eV for the cell shown: -25.083

2.
Density functional theory data (PBE) for an optimized crystal structure of ReTe2Au.

Cell and atoms, written as POSCAR:
```
ReTe2Au
1.0
-2.089 2.089 4.754
2.089 -2.089 4.754
2.089 2.089 -4.754
Re Te Au
1 2 1
direct
0.000 0.000 0.000
0.250 0.750 0.500
0.500 0.500 0.000
0.750 0.250 0.500
```

Results
Energy relative to the lowest polymorph listed for this composition in eV per atom: 0.692
SG: I-4m2, No. 119
Energy in eV for the cell shown: -18.156
Formation energy (no corrections) in meV per atom: 963

3.
Density functional theory data (PBE) for an optimized crystal structure of Th3CdNi8.

Cell and atoms, written as POSCAR:
```
Th3CdNi8
1.0
2.558 1.477 8.455
-2.558 1.477 8.455
0.000 -2.954 8.455
Th Cd Ni
3 1 8
direct
0.000 0.000 0.000
0.128 0.128 0.128
0.613 0.613 0.613
0.492 0.492 0.492
0.058 0.058 0.564
0.058 0.560 0.560
0.058 0.564 0.058
0.310 0.310 0.310
0.560 0.058 0.560
0.560 0.560 0.058
0.564 0.058 0.058
0.810 0.810 0.810
```

Results
SG: R3m, No. 160
Formation enthalpy at 0 K in eV/atom: -0.371
Energy in eV for the cell shown: -73.878

4.
Density functional theory data (PBE) for an optimized crystal structure of CdIr3N.

Cell and atoms, written as POSCAR:
```
CdIr3N
1.0
4.152 0.000 0.000
0.000 4.152 0.000
0.000 0.000 4.152
Cd Ir N
1 3 1
direct
0.000 0.000 0.000
0.000 0.500 0.500
0.500 0.000 0.500
0.500 0.500 0.000
0.500 0.500 0.500
```

Results
Energy relative to the lowest polymorph listed for this composition in eV per atom: 0.000
SG: Pm-3m, No. 221
Energy in eV for the cell shown: -33.126
Formation energy (no corrections) in meV per atom: 540

5.
Density functional theory data (PBE) for an optimized crystal structure of RbAg2O.

Cell and atoms, written as POSCAR:
```
RbAg2O
1.0
2.231 1.288 5.918
-2.231 1.288 5.918
0.000 -2.576 5.918
Rb Ag O
1 2 1
direct
0.000 0.000 0.000
0.188 0.188 0.188
0.812 0.812 0.812
0.500 0.500 0.500
```

Results
SG: R-3m, No. 166
Energy in eV for the cell shown: -11.435
Formation energy (no corrections) in meV per atom: 48

6.
Density functional theory data (PBE) for an optimized crystal structure of SrLa2VPb.

Cell and atoms, written as POSCAR:
```
SrLa2VPb
1.0
6.138 0.000 0.000
0.000 6.138 0.000
0.000 0.000 6.144
Sr La V Pb
1 2 1 1
direct
0.000 0.000 0.000
0.000 0.500 0.500
0.500 0.000 0.500
0.500 0.500 0.000
0.000 0.000 0.500
```

Results
SG: P4/mmm, No. 123
Formation enthalpy at 0 K in eV/atom: 0.996
Energy in eV for the cell shown: -19.384

7.
Density functional theory data (PBE) for an optimized crystal structure of Rb3Ce3DyTe8.

Cell and atoms, written as POSCAR:
```
Rb3Ce3DyTe8
1.0
4.575 2.642 8.685
-4.575 2.642 8.685
0.000 -5.283 8.685
Rb Ce Dy Te
3 3 1 8
direct
0.000 0.500 0.500
0.500 0.000 0.500
0.500 0.500 0.000
0.000 0.000 0.500
0.000 0.500 0.000
0.500 0.000 0.000
0.500 0.500 0.500
0.234 0.234 0.234
0.236 0.731 0.731
0.269 0.269 0.764
0.269 0.764 0.269
0.731 0.236 0.731
0.731 0.731 0.236
0.764 0.269 0.269
0.766 0.766 0.766
```

Results
SG: R-3m, No. 166
Energy in eV for the cell shown: -70.467
Formation energy (no corrections) in meV per atom: -1335

8.
Density functional theory data (PBE) for an optimized crystal structure of NdEuAgRh.

Cell and atoms, written as POSCAR:
```
NdEuAgRh
1.0
0.000 3.637 3.637
3.637 0.000 3.637
3.637 3.637 0.000
Nd Eu Ag Rh
1 1 1 1
direct
0.000 0.000 0.000
0.500 0.500 0.500
0.750 0.750 0.750
0.250 0.250 0.250
```

Results
SG: F-43m, No. 216
Formation enthalpy at 0 K in eV/atom: -0.391
Energy in eV for the cell shown: -26.807